Compound: Li3Co4CuO8
Source: Alexandria
Functional: PBE+U
Structure: optimized geometry

```
Li3Co4CuO8
1.0
-0.486 -5.667 0.920
4.364 -2.949 2.336
-0.472 -2.008 5.472
Li Co Cu O
3 4 1 8
Cartesian
-0.243 -2.834 0.460 Li
-0.236 -1.004 2.736 Li
2.182 -1.474 1.168 Li
1.703 -5.312 4.364 Co
0.000 0.000 0.000 Co
-0.479 -3.837 3.196 Co
1.946 -2.478 3.904 Co
1.939 -4.308 1.628 Cu
0.871 -2.753 2.302 O
0.450 -6.549 5.276 O
2.851 -5.203 5.977 O
2.740 -6.952 3.961 O
0.666 -3.672 4.766 O
0.555 -5.421 2.750 O
2.956 -4.075 3.451 O
2.535 -7.870 6.425 O
```

Values from the calculation:
* DFT total energy: -5.554 eV per atom
* M_tot: 4.209 μB per formula unit